(1)
Computed, not measured: a geometry-optimized Sr2InH6Ir structure at the PBE level of DFT.

Structure (CIF):
```
data_Sr2InH6Ir
_symmetry_space_group_name_H-M 'F m -3 m'
_symmetry_Int_Tables_number 225
_symmetry_space_group_name_Hall '-F 4 2 3'
_cell_length_a 8.071
_cell_length_b 8.071
_cell_length_c 8.071
_cell_angle_alpha 90.00
_cell_angle_beta 90.00
_cell_angle_gamma 90.00
loop_
_atom_site_label
_atom_site_type_symbol
_atom_site_fract_x
_atom_site_fract_y
_atom_site_fract_z
Sr1 Sr 0.250 0.250 0.250
In1 In 0.000 0.000 0.000
H1 H 0.000 0.000 0.286
Ir1 Ir 0.000 0.000 0.500
```

The calculation puts the total energy at -154.3 eV/cell. As for the total moment: 0.00 μB/atom.

***

(2)
Computed, not measured: a geometry-optimized Mg2ScHg structure at the PBE level of DFT.

Structure (CIF):
```
data_Mg2ScHg
_symmetry_space_group_name_H-M 'F -4 3 m'
_symmetry_Int_Tables_number 216
_symmetry_space_group_name_Hall 'F -4 2 3'
_cell_length_a 6.935
_cell_length_b 6.935
_cell_length_c 6.935
_cell_angle_alpha 90.00
_cell_angle_beta 90.00
_cell_angle_gamma 90.00
loop_
_atom_site_label
_atom_site_type_symbol
_atom_site_fract_x
_atom_site_fract_y
_atom_site_fract_z
Mg1 Mg 0.000 0.000 0.000
Mg2 Mg 0.250 0.250 0.250
Sc1 Sc 0.000 0.000 0.500
Hg1 Hg 0.250 0.250 0.750
```

The calculation puts the total energy at -42.4 eV/cell. As for the total moment: 0.00 μB/atom.